No. 1
Density functional theory data (GGA+U) for crystalline BaPrV2O8 at its relaxed geometry.

Properties
Space-group type   P-3m1
Crystal system   trigonal

a b c (Å): 5.856 5.856 7.869
angles (deg): 90.00 90.00 120.00
Each line ends with the local moment (μB).
Atoms (fractional coordinates):
O  0.831  0.661  0.291  0.13
O  0.333  0.667  0.995  0.15
O  0.339  0.170  0.291  0.13
Ba  0.000  0.000  0.000  0.00
O  0.667  0.333  0.005  0.15
O  0.661  0.830  0.709  0.13
V  0.667  0.333  0.221  -0.09
O  0.170  0.831  0.709  0.13
O  0.830  0.169  0.291  0.13
V  0.333  0.667  0.779  -0.09
Pr  0.000  0.000  0.500  -0.01
O  0.169  0.339  0.709  0.13

No. 2
Density functional theory data (GGA+U) for crystalline BaPrVO4 at its relaxed geometry.

Properties
Space-group type   P2_1/m
Crystal system   monoclinic

a b c (Å): 6.150 6.002 7.292
angles (deg): 90.00 108.54 90.00
Each line ends with the local moment (μB).
Atoms (fractional coordinates):
V  0.272  0.750  0.326  1.83
O  0.035  0.520  0.295  0.00
O  0.965  0.480  0.705  0.00
Pr  0.187  0.250  0.539  0.02
Pr  0.813  0.750  0.461  0.02
V  0.728  0.250  0.674  1.83
O  0.481  0.750  0.577  0.00
O  0.519  0.250  0.423  0.00
O  0.035  0.980  0.295  0.00
O  0.467  0.750  0.168  -0.01
Ba  0.714  0.750  0.935  0.01
O  0.533  0.250  0.832  -0.01
O  0.965  0.020  0.705  0.00
Ba  0.286  0.250  0.065  0.01

No. 3
Density functional theory data (GGA+U) for crystalline BaPr2WO8 at its relaxed geometry.

Properties
Space-group type   P-1
Crystal system   triclinic

a b c (Å): 5.451 4.465 7.532
angles (deg): 72.76 90.02 90.03
Atoms (fractional coordinates):
O  0.500  0.674  0.493
O  0.264  0.819  0.888
W  0.000  0.000  0.000
O  0.736  0.181  0.112
O  0.263  0.180  0.113
Pr  0.501  0.627  0.186
O  0.737  0.820  0.887
Ba  0.000  0.000  0.500
O  0.998  0.654  0.232
O  0.500  0.326  0.507
O  0.002  0.346  0.768
Pr  0.499  0.373  0.814

No. 4
Density functional theory data (GGA+U) for crystalline BaPrW2O8 at its relaxed geometry.

Properties
Space-group type   R32
Crystal system   trigonal

a b c (Å): 5.512 5.512 8.608
angles (deg): 71.32 71.32 60.00
Each line ends with the local moment (μB).
Atoms (fractional coordinates):
W  0.749  0.749  0.752  0.46
O  0.090  0.779  0.687  -0.02
O  0.779  0.444  0.687  -0.02
O  0.444  0.090  0.687  -0.02
O  0.910  0.556  0.313  -0.02
O  0.326  0.326  0.021  -0.02
O  0.674  0.674  0.979  -0.02
W  0.251  0.251  0.248  0.46
Pr  0.500  0.500  0.500  0.08
Ba  0.000  0.000  0.000  0.01
O  0.221  0.910  0.313  -0.02
O  0.556  0.221  0.313  -0.02

Number 1: raw total energy -7.419 eV per atom, spin magnetization 1.11 Bohr magnetons per cell. Number 2: raw total energy -7.422 eV per atom, spin magnetization 4.00 Bohr magnetons per cell. Number 3: raw total energy -7.411 eV per atom, spin magnetization 0.00 Bohr magnetons per cell. Number 4: raw total energy -7.335 eV per atom, spin magnetization 1.00 Bohr magnetons per cell.